## KHg3Pd (meta-GGA SCAN)

Data for KHg3Pd at its PBEsol-relaxed geometry.

Cell lengths 5.233, 5.233, 5.233 Å; angles 90.00, 90.00, 90.00 degrees
Atoms (fractional coordinates):
K 0.000 0.000 0.000
Hg 0.000 0.500 0.500
Hg 0.500 0.000 0.500
Hg 0.500 0.500 0.000
Pd 0.500 0.500 0.500

Properties
- Energy relative to the elements: -0.29 eV per atom
- VASP energy: -247.1 eV/cell

## Sr2IrAu (meta-GGA SCAN)

Data for Sr2IrAu at its PBEsol-relaxed geometry.

Cell lengths 6.332, 6.332, 6.332 Å; angles 147.00, 134.29, 57.53 degrees
Atoms (fractional coordinates):
Sr 0.000 0.000 0.000
Sr 0.703 0.203 0.500
Ir 0.457 0.457 0.000
Au 0.274 0.774 0.500

Properties
- Energy relative to the elements: -0.29 eV per atom
- VASP energy: -186.0 eV/cell